Density functional theory data (PBE) for TcMoAu2 after structural relaxation.

Cell: 5.1624 5.1624 2.7373 Å, 90.01 90.01 116.42°
Closest atoms and distances in Å follow each position.
Atoms (fractional coordinates):
Au 0.0000 0.0000 0.0000  4 Au 2.72-2.74, 4 Tc 2.92, 4 Mo 2.92
Au 0.5000 0.5000 0.0000  4 Au 2.72-2.74, 4 Mo 2.92, 4 Tc 2.92
Mo 0.5000 0.0000 0.5000  2 Tc 2.72, 2 Mo 2.74, 8 Au 2.92
Tc 0.0000 0.5000 0.5000  2 Mo 2.72, 2 Tc 2.74, 8 Au 2.92

Properties
Total energy   -6.598 eV per atom
Relative energy among the computed polymorphs   150 meV/atom
Energy of formation from the pure elements   340.1 meV/atom


Density functional theory data (PBE) for Tc2MoAu after structural relaxation.

Cell: 2.7640 2.7640 8.2136 Å, 90.00 90.00 90.00°
Closest atoms and distances in Å follow each position.
Atoms (fractional coordinates):
Au 0.0000 0.0000 0.4976  4 Au 2.76, 4 Mo 2.94, 4 Tc 2.96
Mo 0.5000 0.5000 0.7650  4 Mo 2.76, 4 Tc 2.81, 4 Au 2.94
Tc 0.0000 0.0000 0.0102  8 Tc 2.65-2.76, 4 Mo 2.81
Tc 0.5000 0.5000 0.2272  8 Tc 2.65-2.76, 4 Au 2.96

Properties
Total energy   -8.547 eV per atom
Relative energy among the computed polymorphs   0 meV/atom
Energy of formation from the pure elements   163.2 meV/atom


Density functional theory data (PBE) for TcMoAu after structural relaxation.

Cell: 4.9182 4.9182 4.9182 Å, 148.40 129.46 60.84°
Closest atoms and distances in Å follow each position.
Atoms (fractional coordinates):
Au 0.0008 0.0008 0.0000  2 Au 2.68, 5 Mo 2.81-2.87, 5 Tc 2.83-2.86
Mo 0.3322 0.3322 0.0000  2 Mo 2.68, 5 Au 2.81-2.87, 5 Tc 2.84-2.86
Tc 0.6669 0.6669 0.0000  2 Tc 2.68, 5 Au 2.83-2.86, 5 Mo 2.84-2.86

Properties
Total energy   -7.929 eV per atom
Relative energy among the computed polymorphs   0 meV/atom
Energy of formation from the pure elements   229.2 meV/atom